CsCoPO2 | PBE+U | relaxed

The structure belongs to space group P4/mmm (No. 123); the cell edges are 4.1462, 4.1462 and 4.5347 Å and the angles 90.00°, 90.00° and 90.00°. The inequivalent atoms are Cs at (0.0000, 0.0000, 0.0000), Co at (0.5000, 0.5000, 0.5000), P at (0.5000, 0.5000, 0.0000) and O at (0.0000, 0.5000, 0.5000).

The total energy is -20.80 eV for the cell shown. The total magnetic moment is 0.445 μB per atom. The value obtained for the polymorph energy (0 for the lowest one) is 0.000 eV per atom.